No. 1
{"formula": "UTlZn2O6", "functional": "PBE", "state": "relaxed", "lattice_angstrom": [[6.297, 0.176, 0.183], [2.237, 7.270, 0.423], [2.237, 0.154, 7.281]], "species": ["U", "U", "Tl", "Tl", "Zn", "Zn", "Zn", "Zn", "O", "O", "O", "O", "O", "O", "O", "O", "O", "O", "O", "O"], "frac_coords": [[0.250, 0.277, 0.723], [0.750, 0.723, 0.277], [0.250, 0.908, 0.092], [0.750, 0.092, 0.908], [0.347, 0.770, 0.642], [0.153, 0.358, 0.230], [0.653, 0.230, 0.358], [0.847, 0.642, 0.770], [0.192, 0.993, 0.779], [0.308, 0.221, 0.007], [0.808, 0.007, 0.221], [0.692, 0.779, 0.993], [0.401, 0.818, 0.362], [0.099, 0.638, 0.182], [0.599, 0.182, 0.638], [0.901, 0.362, 0.818], [0.204, 0.568, 0.712], [0.296, 0.288, 0.432], [0.796, 0.432, 0.288], [0.704, 0.712, 0.568]], "sg": "No. 15", "raw_formation_energy_ev_per_atom": -1.81}

***

No. 2
{"formula": "ZrUTlO6", "functional": "PBE", "state": "relaxed", "lattice_angstrom": [[-2.500, 5.757, -4.506], [3.788, -3.310, -6.330], [-5.222, -4.156, 4.212]], "species": ["Zr", "Zr", "U", "U", "Tl", "Tl", "O", "O", "O", "O", "O", "O", "O", "O", "O", "O", "O", "O"], "frac_coords": [[0.500, 0.000, 0.500], [0.000, 0.000, 0.500], [0.500, 0.500, 0.000], [0.500, 0.000, 0.000], [0.954, 0.704, 0.909], [0.046, 0.296, 0.091], [0.441, 0.691, 0.881], [0.819, 0.069, 0.638], [0.805, 0.052, 0.238], [0.433, 0.687, 0.238], [0.433, 0.052, 0.238], [0.805, 0.687, 0.238], [0.559, 0.309, 0.119], [0.181, 0.931, 0.362], [0.195, 0.948, 0.762], [0.567, 0.313, 0.762], [0.567, 0.948, 0.762], [0.195, 0.313, 0.762]], "sg": "No. 74", "raw_formation_energy_ev_per_atom": -2.48}

***

no.,total energy (eV/atom),DOS at the Fermi energy (states/eV per atom)
1,-6.407,0.282
2,-8.257,0.769